Record 1
VASP calculation (PBE) on an optimized crystal structure of Ac2PaGe4Pt3.

Unit cell a=4.443 b=4.443 c=11.376 alpha=90.00 beta=90.00 gamma=90.00
Fractional positions:
Ac: 0.000 0.500 0.228
Ac: 0.500 0.000 0.772
Pa: 0.000 0.000 0.500
Ge: 0.000 0.000 0.000
Ge: 0.000 0.500 0.661
Ge: 0.500 0.000 0.339
Ge: 0.500 0.500 0.000
Pt: 0.000 0.500 0.886
Pt: 0.500 0.000 0.114
Pt: 0.500 0.500 0.500

Results
E_form	-0.814	eV per atom
E	-6.245	eV per atom
SG	P-4m2 (115)
calculated density	11.5	g/cm³

---

Record 2
VASP calculation (PBE) on an optimized crystal structure of AcPuPaGe.

Unit cell a=5.319 b=5.319 c=5.319 alpha=60.00 beta=60.00 gamma=60.00
Fractional positions:
Ac: 0.000 0.000 0.000
Pu: 0.500 0.500 0.500
Pa: 0.250 0.250 0.250
Ge: 0.750 0.750 0.750

Results
E_form	0.210	eV per atom
E	-7.929	eV per atom
SG	F-43m (216)
calculated density	12.1	g/cm³

---

Record 3
VASP calculation (PBE) on an optimized crystal structure of AcPaGe2Rh5.

Unit cell a=4.089 b=4.089 c=11.305 alpha=90.00 beta=90.00 gamma=90.00
Fractional positions:
Ac: 0.000 0.000 0.000
Pa: 0.000 0.000 0.500
Ge: 0.500 0.500 0.214
Ge: 0.500 0.500 0.786
Rh: 0.000 0.500 0.336
Rh: 0.000 0.500 0.664
Rh: 0.500 0.000 0.336
Rh: 0.500 0.000 0.664
Rh: 0.500 0.500 0.000

Results
E_form	-0.672	eV per atom
E	-7.294	eV per atom
SG	P4/mmm (123)
calculated density	9.8	g/cm³

---

Record 4
VASP calculation (PBE) on an optimized crystal structure of Ac2PaGe4Rh3.

Unit cell a=4.352 b=4.352 c=11.498 alpha=90.00 beta=90.00 gamma=90.00
Fractional positions:
Ac: 0.000 0.500 0.227
Ac: 0.500 0.000 0.773
Pa: 0.000 0.000 0.500
Ge: 0.000 0.000 0.000
Ge: 0.000 0.500 0.668
Ge: 0.500 0.000 0.332
Ge: 0.500 0.500 0.000
Rh: 0.000 0.500 0.889
Rh: 0.500 0.000 0.111
Rh: 0.500 0.500 0.500

Results
E_form	-0.707	eV per atom
E	-6.530	eV per atom
SG	P-4m2 (115)
calculated density	9.8	g/cm³

---

Record 5
VASP calculation (PBE) on an optimized crystal structure of Ac2PaGe3Rh4.

Unit cell a=4.375 b=4.375 c=10.989 alpha=90.00 beta=90.00 gamma=90.00
Fractional positions:
Ac: 0.000 0.500 0.231
Ac: 0.500 0.000 0.769
Pa: 0.000 0.000 0.500
Ge: 0.000 0.500 0.880
Ge: 0.500 0.000 0.120
Ge: 0.500 0.500 0.500
Rh: 0.000 0.000 0.000
Rh: 0.000 0.500 0.646
Rh: 0.500 0.000 0.354
Rh: 0.500 0.500 0.000

Results
E_form	-0.840	eV per atom
E	-6.937	eV per atom
SG	P-4m2 (115)
calculated density	10.4	g/cm³

---

Record 6
VASP calculation (PBE) on an optimized crystal structure of AcPaGeSb.

Unit cell a=5.404 b=5.404 c=5.404 alpha=60.00 beta=60.00 gamma=60.00
Fractional positions:
Ac: 0.000 0.000 0.000
Pa: 0.500 0.500 0.500
Ge: 0.250 0.250 0.250
Sb: 0.750 0.750 0.750

Results
uncorrected formation energy	-367	meV/atom
E	-5.953	eV per atom
SG	F-43m (216)
calculated density	9.7	g/cm³